A.
Computed, not measured: a geometry-optimized TlCoBr structure at the PBE level of DFT.

The structure in CIF format:
```
data_TlCoBr
_space_group_name_H-M_alt 'F -4 3 m'
_space_group_IT_number 216
_space_group_name_Hall 'F -4 2 3'
_cell_length_a 6.5449
_cell_length_b 6.5449
_cell_length_c 6.5449
_cell_angle_alpha 90.00
_cell_angle_beta 90.00
_cell_angle_gamma 90.00
loop_
_atom_site_label
_atom_site_type_symbol
_atom_site_fract_x
_atom_site_fract_y
_atom_site_fract_z
_atom_site_occupancy
Tl1 Tl 0.0000 0.0000 0.0000 1
Co1 Co 0.2500 0.2500 0.7500 1
Br1 Br 0.0000 0.0000 0.5000 1
```


B.
Computed, not measured: a geometry-optimized TlCoBr structure at the PBE level of DFT.

The structure in CIF format:
```
data_TlCoBr
_space_group_name_H-M_alt 'F m m 2'
_space_group_IT_number 42
_space_group_name_Hall 'F 2 -2'
_cell_length_a 4.5157
_cell_length_b 4.7904
_cell_length_c 13.2542
_cell_angle_alpha 90.00
_cell_angle_beta 90.00
_cell_angle_gamma 90.00
loop_
_atom_site_label
_atom_site_type_symbol
_atom_site_fract_x
_atom_site_fract_y
_atom_site_fract_z
_atom_site_occupancy
Tl1 Tl 0.0000 0.0000 0.0000 1
Co1 Co 0.0000 0.0000 0.3359 1
Br1 Br 0.0000 0.0000 0.7528 1
```


Which is most stable, and by how much? B, by 0.162 eV/atom.


A.
Computed, not measured: a geometry-optimized V3CoBr structure at the PBE level of DFT.

The structure in CIF format:
```
data_V3CoBr
_space_group_name_H-M_alt 'P m -3 m'
_space_group_IT_number 221
_space_group_name_Hall '-P 4 2 3'
_cell_length_a 4.4480
_cell_length_b 4.4480
_cell_length_c 4.4480
_cell_angle_alpha 90.00
_cell_angle_beta 90.00
_cell_angle_gamma 90.00
loop_
_atom_site_label
_atom_site_type_symbol
_atom_site_fract_x
_atom_site_fract_y
_atom_site_fract_z
_atom_site_occupancy
V1 V 0.0000 0.0000 0.5000 1
Co1 Co 0.5000 0.5000 0.5000 1
Br1 Br 0.0000 0.0000 0.0000 1
```


B.
Computed, not measured: a geometry-optimized V3CoBr structure at the PBE level of DFT.

The structure in CIF format:
```
data_V3CoBr
_space_group_name_H-M_alt 'P m -3 m'
_space_group_IT_number 221
_space_group_name_Hall '-P 4 2 3'
_cell_length_a 4.4858
_cell_length_b 4.4858
_cell_length_c 4.4858
_cell_angle_alpha 90.00
_cell_angle_beta 90.00
_cell_angle_gamma 90.00
loop_
_atom_site_label
_atom_site_type_symbol
_atom_site_fract_x
_atom_site_fract_y
_atom_site_fract_z
_atom_site_occupancy
V1 V 0.0000 0.0000 0.5000 1
Co1 Co 0.0000 0.0000 0.0000 1
Br1 Br 0.5000 0.5000 0.5000 1
```


Which is most stable, and by how much? B, by 0.399 eV/atom.


A.
Computed, not measured: a geometry-optimized VCo3Br structure at the PBE level of DFT.

The structure in CIF format:
```
data_VCo3Br
_space_group_name_H-M_alt 'P m -3 m'
_space_group_IT_number 221
_space_group_name_Hall '-P 4 2 3'
_cell_length_a 4.3819
_cell_length_b 4.3819
_cell_length_c 4.3819
_cell_angle_alpha 90.00
_cell_angle_beta 90.00
_cell_angle_gamma 90.00
loop_
_atom_site_label
_atom_site_type_symbol
_atom_site_fract_x
_atom_site_fract_y
_atom_site_fract_z
_atom_site_occupancy
V1 V 0.0000 0.0000 0.0000 1
Co1 Co 0.0000 0.0000 0.5000 1
Br1 Br 0.5000 0.5000 0.5000 1
```


B.
Computed, not measured: a geometry-optimized VCo3Br structure at the PBE level of DFT.

The structure in CIF format:
```
data_VCo3Br
_space_group_name_H-M_alt 'P m -3 m'
_space_group_IT_number 221
_space_group_name_Hall '-P 4 2 3'
_cell_length_a 4.2858
_cell_length_b 4.2858
_cell_length_c 4.2858
_cell_angle_alpha 90.00
_cell_angle_beta 90.00
_cell_angle_gamma 90.00
loop_
_atom_site_label
_atom_site_type_symbol
_atom_site_fract_x
_atom_site_fract_y
_atom_site_fract_z
_atom_site_occupancy
V1 V 0.0000 0.0000 0.0000 1
Co1 Co 0.0000 0.5000 0.5000 1
Br1 Br 0.5000 0.5000 0.5000 1
```


Which is most stable, and by how much? B, by 0.030 eV/atom.


A.
Computed, not measured: a geometry-optimized VCoBr2 structure at the PBE level of DFT.

The structure in CIF format:
```
data_VCoBr2
_space_group_name_H-M_alt 'F m -3 m'
_space_group_IT_number 225
_space_group_name_Hall '-F 4 2 3'
_cell_length_a 6.5764
_cell_length_b 6.5764
_cell_length_c 6.5764
_cell_angle_alpha 90.00
_cell_angle_beta 90.00
_cell_angle_gamma 90.00
loop_
_atom_site_label
_atom_site_type_symbol
_atom_site_fract_x
_atom_site_fract_y
_atom_site_fract_z
_atom_site_occupancy
V1 V 0.0000 0.0000 0.0000 1
Co1 Co 0.0000 0.0000 0.5000 1
Br1 Br 0.2500 0.2500 0.2500 1
```


B.
Computed, not measured: a geometry-optimized VCoBr2 structure at the PBE level of DFT.

The structure in CIF format:
```
data_VCoBr2
_space_group_name_H-M_alt 'R -3 m'
_space_group_IT_number 166
_space_group_name_Hall '-R 3 2"'
_cell_length_a 3.3057
_cell_length_b 3.3057
_cell_length_c 24.1702
_cell_angle_alpha 90.00
_cell_angle_beta 90.00
_cell_angle_gamma 120.00
loop_
_atom_site_label
_atom_site_type_symbol
_atom_site_fract_x
_atom_site_fract_y
_atom_site_fract_z
_atom_site_occupancy
V1 V 0.0000 0.0000 0.0000 1
Co1 Co 0.0000 0.0000 0.5000 1
Br1 Br 0.0000 0.0000 0.4038 1
```


C.
Computed, not measured: a geometry-optimized VCoBr2 structure at the PBE level of DFT.

The structure in CIF format:
```
data_VCoBr2
_space_group_name_H-M_alt 'I -4 2 d'
_space_group_IT_number 122
_space_group_name_Hall 'I -4 2bw'
_cell_length_a 5.7545
_cell_length_b 5.7545
_cell_length_c 11.2743
_cell_angle_alpha 90.00
_cell_angle_beta 90.00
_cell_angle_gamma 90.00
loop_
_atom_site_label
_atom_site_type_symbol
_atom_site_fract_x
_atom_site_fract_y
_atom_site_fract_z
_atom_site_occupancy
V1 V 0.0000 0.0000 0.0000 1
Co1 Co 0.0000 0.0000 0.5000 1
Br1 Br 0.2271 0.2500 0.6250 1
```


Which is most stable, and by how much? B, by 0.050 eV/atom.